Below is crystalline YZrOs2 at its relaxed geometry, with properties calculated at the PBE-GGA level.

a b c (Å): 4.669 4.669 4.669
angles (deg): 60.00 60.00 60.00
Fractional coordinates of all 4 atoms:
Zr: 0.500 0.500 0.500
Os: 0.250 0.250 0.250
Os: 0.000 0.000 0.000
Y: 0.750 0.750 0.750

Values from the calculation:
Crystal system ... cubic
SG ... No. 216
Energy of formation from the pure elements ... 137 meV/atom